A geometry-optimized Sb2TeAu2 structure, computed with PBE.

Cell lengths 8.4835, 8.4835, 8.4835 Å; angles 152.95, 152.95, 38.62 degrees
Element x y z (fractional)
Sb 0.1141 0.1141 0.0000
Sb 0.8859 0.8859 0.0000
Te 0.5000 0.5000 0.0000
Au 0.2500 0.7500 0.5000
Au 0.7500 0.2500 0.5000

Computed properties:
Total DFT energy (no corrections): -3.504 eV/atom
Polymorph energy (0 for the lowest one): 121 meV/atom
SG: I4/mmm (139)

---

A geometry-optimized Sb2Te2Au structure, computed with PBE.

Cell lengths 8.1973, 8.1973, 4.3449 Å; angles 90.00, 90.00, 90.00 degrees
Element x y z (fractional)
Sb 0.1868 0.3132 0.0000
Sb 0.3132 0.8132 0.0000
Sb 0.6868 0.1868 0.0000
Sb 0.8132 0.6868 0.0000
Te 0.1461 0.6461 0.5000
Te 0.3539 0.1461 0.5000
Te 0.6461 0.8539 0.5000
Te 0.8539 0.3539 0.5000
Au 0.0000 0.0000 0.0000
Au 0.5000 0.5000 0.0000

Computed properties:
Total DFT energy (no corrections): -3.443 eV/atom
Polymorph energy (0 for the lowest one): 90 meV/atom
SG: P4/mbm (127)

---

A geometry-optimized SbTeAu3 structure, computed with PBE.

Cell lengths 5.4506, 5.4506, 5.4506 Å; angles 104.26, 104.26, 104.26 degrees
Element x y z (fractional)
Sb 0.0000 0.0000 0.0000
Te 0.5754 0.5754 0.5754
Au 0.2716 0.2716 0.7690
Au 0.2716 0.7690 0.2716
Au 0.7690 0.2716 0.2716

Computed properties:
Total DFT energy (no corrections): -3.427 eV/atom
Polymorph energy (0 for the lowest one): 0 meV/atom
SG: R3m (160)

---

A geometry-optimized Sb3Te4Au structure, computed with PBE.

Cell lengths 6.2288, 12.2408, 6.2288 Å; angles 90.00, 90.00, 90.00 degrees
Element x y z (fractional)
Sb 0.2500 0.0000 0.2499
Sb 0.2500 0.2500 0.7497
Sb 0.2500 0.5000 0.2499
Sb 0.7500 0.0000 0.7501
Sb 0.7500 0.5000 0.7501
Sb 0.7500 0.7500 0.2503
Te 0.2500 0.2500 0.2491
Te 0.2500 0.5086 0.7502
Te 0.2500 0.7500 0.2507
Te 0.2500 0.9914 0.7502
Te 0.7500 0.0086 0.2498
Te 0.7500 0.2500 0.7493
Te 0.7500 0.4914 0.2498
Te 0.7500 0.7500 0.7509
Au 0.2500 0.7500 0.7508
Au 0.7500 0.2500 0.2492

Computed properties:
Total DFT energy (no corrections): -3.547 eV/atom
SG: Pmmn (59)

---

A geometry-optimized Sb3TeAu structure, computed with PBE.

Cell lengths 5.3965, 5.3965, 5.3965 Å; angles 90.00, 90.00, 90.00 degrees
Element x y z (fractional)
Sb 0.0000 0.0000 0.5000
Sb 0.0000 0.5000 0.0000
Sb 0.5000 0.0000 0.0000
Te 0.5000 0.5000 0.5000
Au 0.0000 0.0000 0.0000

Computed properties:
Total DFT energy (no corrections): -3.196 eV/atom
Polymorph energy (0 for the lowest one): 560 meV/atom
SG: Pm-3m (221)

---

A geometry-optimized Sb4Te4Au structure, computed with PBE.

Cell lengths 9.5276, 9.5276, 9.5276 Å; angles 140.13, 140.13, 57.66 degrees
Element x y z (fractional)
Sb 0.1773 0.1773 0.6107
Sb 0.4334 0.8227 0.0000
Sb 0.5666 0.5666 0.3893
Sb 0.8227 0.4334 0.0000
Te 0.0000 0.5000 0.5000
Te 0.2333 0.2333 0.0000
Te 0.5000 0.0000 0.5000
Te 0.7667 0.7667 0.0000
Au 0.5000 0.5000 0.0000

Computed properties:
Total DFT energy (no corrections): -3.439 eV/atom
SG: I-42m (121)

---

A geometry-optimized SbTe4Au3 structure, computed with PBE.

Cell lengths 9.0482, 7.8149, 7.5011 Å; angles 90.00, 90.00, 90.00 degrees
Element x y z (fractional)
Sb 0.0000 0.1634 0.0000
Sb 0.5000 0.8366 0.5000
Te 0.0000 0.1740 0.6080
Te 0.0000 0.8190 0.1399
Te 0.2401 0.6567 0.6290
Te 0.2599 0.3433 0.1290
Te 0.5000 0.1810 0.6399
Te 0.5000 0.8260 0.1080
Te 0.7401 0.3433 0.1290
Te 0.7599 0.6567 0.6290
Au 0.0000 0.8393 0.5103
Au 0.2458 0.6743 0.9936
Au 0.2542 0.3257 0.4936
Au 0.5000 0.1607 0.0103
Au 0.7458 0.3257 0.4936
Au 0.7542 0.6743 0.9936

Computed properties:
Total DFT energy (no corrections): -3.319 eV/atom
SG: Pmn2_1 (31)

---

A geometry-optimized SbTe2Au2 structure, computed with PBE.

Cell lengths 4.1722, 4.1722, 8.7868 Å; angles 90.00, 90.00, 120.00 degrees
Element x y z (fractional)
Sb 0.0000 0.0000 0.0000
Te 0.3333 0.6667 0.3482
Te 0.6667 0.3333 0.6518
Au 0.3333 0.6667 0.8126
Au 0.6667 0.3333 0.1874

Computed properties:
Total DFT energy (no corrections): -3.414 eV/atom
Polymorph energy (0 for the lowest one): 0 meV/atom
SG: P-3m1 (164)